[1]
Cu7Pt5 (SCAN, single point on PBEsol structure); excess energy over the best structure of this formula in the dataset = 23 meV/atom
1.0
3.7302 0.0000 0.0000
0.0000 5.2688 0.0000
0.0000 0.0000 7.9323
Cu Pt
7 5
Direct
0.0000 0.0000 0.0000
0.0000 0.5000 0.3280
0.0000 0.5000 0.6720
0.5000 0.2508 0.1608
0.5000 0.2508 0.8392
0.5000 0.7492 0.1608
0.5000 0.7492 0.8392
0.0000 0.0000 0.3186
0.0000 0.0000 0.6814
0.0000 0.5000 0.0000
0.5000 0.2536 0.5000
0.5000 0.7464 0.5000

=====

[2]
Cu3Pt5 (SCAN, single point on PBEsol structure); excess energy over the best structure of this formula in the dataset = 13 meV/atom
1.0
4.6620 0.0000 0.0000
0.7703 4.5980 0.0000
1.5391 -0.2509 5.1437
Cu Pt
3 5
Direct
0.0000 0.0000 0.0000
0.0032 0.4953 0.2468
0.4967 0.2479 0.8775
0.4984 0.7502 0.6277
0.5010 0.2490 0.3677
0.5019 0.7485 0.1223
0.9968 0.9991 0.4970
0.9979 0.4920 0.7606

=====

[3]
A plane-wave DFT calculation with SCAN was carried out for CuPt2 at its PBEsol-relaxed geometry.

The structure in POSCAR format:
```
CuPt2
1.0
4.4712 -4.0654 0.0000
4.4712 4.0654 0.0000
-0.8086 0.0000 4.5995
Cu Pt
4 8
Direct
0.0000 0.0000 0.0000
0.1610 0.8383 0.4926
0.7579 0.7579 0.2465
0.8383 0.1610 0.4926
0.0800 0.4200 0.2490
0.2415 0.2415 0.7453
0.3306 0.6746 0.9944
0.4200 0.0800 0.2490
0.5053 0.5053 0.4917
0.5922 0.9183 0.7452
0.6746 0.3306 0.9944
0.9183 0.5922 0.7452
```

=====

Which formation energy belongs to each record? In order, -0.137; -0.122; -0.101 eV/atom.